No. 1
First-principles (PBE-GGA) data for a relaxed Hg6Te crystal, as listed in Alexandria.

Results
- Space group: Im-3m (229)
- DFT total energy: -0.410 eV per atom
- Formation energy from raw total energies: 0.30 eV/atom

a b c (Å): 7.117 7.117 7.117
angles (deg): 109.47 109.47 109.47
Site moments in Bohr magnetons follow the coordinates.
Atoms (fractional coordinates):
1 Hg 0.250 0.750 0.500  0.00
2 Te 0.000 0.000 0.000  0.45
3 Hg 0.250 0.500 0.750  0.00
4 Hg 0.500 0.750 0.250  0.00
5 Hg 0.750 0.500 0.250  0.00
6 Hg 0.500 0.250 0.750  0.00
7 Hg 0.750 0.250 0.500  0.00

No. 2
First-principles (PBE-GGA) data for a relaxed HgTe crystal, as listed in Alexandria.

Results
- Space group: P-3m1 (164)
- DFT total energy: -1.787 eV per atom
- Formation energy from raw total energies: -0.06 eV/atom

a b c (Å): 4.725 4.725 7.632
angles (deg): 90.00 90.00 120.00
Atoms (fractional coordinates):
1 Hg 0.667 0.333 0.285
2 Te 0.000 0.000 0.392
3 Hg 0.000 0.000 0.965
4 Te 0.667 0.333 0.858

No. 3
First-principles (PBE-GGA) data for a relaxed HgTe crystal, as listed in Alexandria.

Results
- Space group: R-3m (166)
- DFT total energy: -1.726 eV per atom
- Formation energy from raw total energies: 0.00 eV/atom

a b c (Å): 9.432 9.432 9.432
angles (deg): 29.10 29.10 29.10
Atoms (fractional coordinates):
1 Te 0.902 0.902 0.902
2 Te 0.098 0.098 0.098
3 Hg 0.589 0.589 0.589
4 Hg 0.411 0.411 0.411

Q: The lowest formation energy from raw total energies belongs to which entry?
A: number 2

Q: Which of these has the highest DFT total energy?
A: Hg6Te

Repeat the second record exactly.
First-principles (PBE-GGA) data for a relaxed HgTe crystal, as listed in Alexandria.

Results
- Space group: P-3m1 (164)
- DFT total energy: -1.787 eV per atom
- Formation energy from raw total energies: -0.06 eV/atom

a b c (Å): 4.725 4.725 7.632
angles (deg): 90.00 90.00 120.00
Atoms (fractional coordinates):
1 Hg 0.667 0.333 0.285
2 Te 0.000 0.000 0.392
3 Hg 0.000 0.000 0.965
4 Te 0.667 0.333 0.858

Q: Look up the formation energy from raw total energies of the third one.
A: 0.00 eV/atom